1.
{
  "formula": "Dy5Tm7",
  "functional": "GGA-PBE",
  "state": "relaxed",
  "cell": [[9.136, -1.759, 0.000], [9.136, 1.759, 0.000], [-6.094, 0.000, 11.354]],
  "species": ["Dy", "Dy", "Dy", "Dy", "Dy", "Tm", "Tm", "Tm", "Tm", "Tm", "Tm", "Tm"],
  "frac_coords": [[0.000, 0.000, 0.000], [0.166, 0.166, 0.499], [0.305, 0.305, 0.250], [0.695, 0.695, 0.750], [0.834, 0.834, 0.501], [0.028, 0.028, 0.750], [0.334, 0.334, 0.001], [0.361, 0.361, 0.751], [0.500, 0.500, 0.500], [0.639, 0.639, 0.249], [0.666, 0.666, 0.999], [0.972, 0.972, 0.250]],
  "n_ef_per_ev_cell": 16.7,
  "e_above_lowest_polymorph_mev_per_atom": 0,
  "delta_e_f_ev_per_atom": 0.006
}



2.
{
  "formula": "DyTm3",
  "functional": "GGA-PBE",
  "state": "relaxed",
  "cell": [[7.134, 0.000, 0.000], [-3.567, 6.178, 0.000], [0.000, 0.000, 5.550]],
  "species": ["Dy", "Dy", "Tm", "Tm", "Tm", "Tm", "Tm", "Tm"],
  "frac_coords": [[0.333, 0.667, 0.250], [0.667, 0.333, 0.750], [0.166, 0.333, 0.750], [0.166, 0.834, 0.750], [0.333, 0.166, 0.250], [0.667, 0.834, 0.750], [0.834, 0.166, 0.250], [0.834, 0.667, 0.250]],
  "n_ef_per_ev_cell": 15.5,
  "e_above_lowest_polymorph_mev_per_atom": 3,
  "delta_e_f_ev_per_atom": 0.001
}



3.
{
  "formula": "Dy2Tm3",
  "functional": "GGA-PBE",
  "state": "relaxed",
  "cell": [[0.000, 12.046, 1.787], [7.257, 0.000, 1.787], [7.257, 12.046, 0.000]],
  "species": ["Dy", "Dy", "Dy", "Dy", "Tm", "Tm", "Tm", "Tm", "Tm", "Tm"],
  "frac_coords": [[0.145, 0.855, 0.279], [0.529, 0.971, 0.395], [0.855, 0.145, 0.721], [0.971, 0.529, 0.105], [0.136, 0.656, 0.564], [0.197, 0.197, 0.803], [0.447, 0.447, 0.053], [0.605, 0.686, 0.594], [0.656, 0.136, 0.645], [0.686, 0.605, 0.114]],
  "n_ef_per_ev_cell": 15.0,
  "e_above_lowest_polymorph_mev_per_atom": 200,
  "delta_e_f_ev_per_atom": 0.199
}



4.
{
  "formula": "Dy3Tm2",
  "functional": "GGA-PBE",
  "state": "relaxed",
  "cell": [[-3.277, 7.826, 3.043], [3.277, -7.826, 3.043], [3.277, 7.826, -3.043]],
  "species": ["Dy", "Dy", "Dy", "Dy", "Dy", "Dy", "Tm", "Tm", "Tm", "Tm"],
  "frac_coords": [[0.094, 0.615, 0.709], [0.250, 0.250, 0.000], [0.406, 0.115, 0.521], [0.594, 0.885, 0.479], [0.750, 0.750, 0.000], [0.906, 0.385, 0.291], [0.192, 0.145, 0.337], [0.308, 0.645, 0.953], [0.692, 0.355, 0.047], [0.808, 0.855, 0.663]],
  "n_ef_per_ev_cell": 13.4,
  "e_above_lowest_polymorph_mev_per_atom": 89,
  "delta_e_f_ev_per_atom": 0.143
}



5.
{
  "formula": "Dy6Tm7",
  "functional": "GGA-PBE",
  "state": "relaxed",
  "cell": [[3.237, 1.869, 11.546], [-3.237, 1.869, 11.546], [0.000, -3.738, 11.546]],
  "species": ["Dy", "Dy", "Dy", "Dy", "Dy", "Dy", "Tm", "Tm", "Tm", "Tm", "Tm", "Tm", "Tm"],
  "frac_coords": [[0.047, 0.047, 0.047], [0.149, 0.149, 0.149], [0.333, 0.333, 0.333], [0.667, 0.667, 0.667], [0.851, 0.851, 0.851], [0.953, 0.953, 0.953], [0.085, 0.589, 0.589], [0.411, 0.411, 0.915], [0.411, 0.915, 0.411], [0.500, 0.500, 0.500], [0.589, 0.085, 0.589], [0.589, 0.589, 0.085], [0.915, 0.411, 0.411]],
  "n_ef_per_ev_cell": 30.2,
  "delta_e_f_ev_per_atom": 0.269
}



6.
{
  "formula": "Dy13Tm3",
  "functional": "GGA-PBE",
  "state": "relaxed",
  "cell": [[7.217, 0.000, 0.000], [0.000, 5.592, 6.237], [0.000, -5.592, 6.237]],
  "species": ["Dy", "Dy", "Dy", "Dy", "Dy", "Dy", "Dy", "Dy", "Dy", "Dy", "Dy", "Dy", "Dy", "Tm", "Tm", "Tm"],
  "frac_coords": [[0.000, 0.000, 0.000], [0.000, 0.415, 0.918], [0.000, 0.499, 0.499], [0.000, 0.918, 0.415], [0.250, 0.167, 0.665], [0.250, 0.665, 0.167], [0.250, 0.749, 0.749], [0.500, 0.000, 0.000], [0.500, 0.416, 0.917], [0.500, 0.917, 0.416], [0.750, 0.167, 0.665], [0.750, 0.665, 0.167], [0.750, 0.749, 0.749], [0.250, 0.250, 0.250], [0.500, 0.499, 0.499], [0.750, 0.250, 0.250]],
  "n_ef_per_ev_cell": 28.2,
  "e_above_lowest_polymorph_mev_per_atom": 0,
  "delta_e_f_ev_per_atom": 0.006
}



7.
{
  "formula": "Dy8Tm3",
  "functional": "GGA-PBE",
  "state": "relaxed",
  "cell": [[4.763, 2.750, 4.515], [-4.763, 2.750, 4.515], [0.000, -5.500, 4.515]],
  "species": ["Dy", "Dy", "Dy", "Dy", "Dy", "Dy", "Dy", "Dy", "Tm", "Tm", "Tm"],
  "frac_coords": [[0.112, 0.112, 0.112], [0.196, 0.345, 0.620], [0.345, 0.620, 0.196], [0.380, 0.804, 0.655], [0.620, 0.196, 0.345], [0.655, 0.380, 0.804], [0.804, 0.655, 0.380], [0.888, 0.888, 0.888], [0.000, 0.000, 0.500], [0.000, 0.500, 0.000], [0.500, 0.000, 0.000]],
  "n_ef_per_ev_cell": 11.1,
  "e_above_lowest_polymorph_mev_per_atom": 153,
  "delta_e_f_ev_per_atom": 0.557
}



8.
{
  "formula": "Dy4Tm",
  "functional": "GGA-PBE",
  "state": "relaxed",
  "cell": [[5.626, 0.000, 0.000], [0.000, 5.626, 0.000], [0.000, 0.000, 5.626]],
  "species": ["Dy", "Dy", "Dy", "Dy", "Tm"],
  "frac_coords": [[0.000, 0.000, 0.000], [0.000, 0.500, 0.500], [0.500, 0.000, 0.500], [0.500, 0.500, 0.000], [0.500, 0.500, 0.500]],
  "n_ef_per_ev_cell": 6.7,
  "e_above_lowest_polymorph_mev_per_atom": 699,
  "delta_e_f_ev_per_atom": 0.719
}